Record 1
## ZrScAl2 (GGA-PBE)

Data for ZrScAl2 after structural relaxation.

Properties
Crystal system   orthorhombic
SG   No. 63
E_tot   -5.98 eV/atom

CIF file:
```
data_ZrScAl2
_cell_length_a 5.940
_cell_length_b 5.940
_cell_length_c 4.877
_cell_angle_alpha 90.00
_cell_angle_beta 90.00
_cell_angle_gamma 116.61
_symmetry_space_group_name_H-M 'P 1'
_symmetry_Int_Tables_number 1
loop_
_symmetry_equiv_pos_as_xyz
'x,y,z'
loop_
_atom_site_label
_atom_site_type_symbol
_atom_site_fract_x
_atom_site_fract_y
_atom_site_fract_z
Al1 Al 0.154 0.335 0.250
Al2 Al 0.665 0.846 0.250
Al3 Al 0.335 0.154 0.750
Al4 Al 0.846 0.665 0.750
Sc1 Sc 0.157 0.843 0.250
Sc2 Sc 0.843 0.157 0.750
Zr1 Zr 0.650 0.350 0.250
Zr2 Zr 0.350 0.650 0.750
```

Record 2
## TmInNiTe3 (GGA-PBE)

Data for TmInNiTe3 after structural relaxation.

Properties
Crystal system   orthorhombic
SG   No. 62
E_tot   -4.26 eV/atom

CIF file:
```
data_TmInNiTe3
_cell_length_a 8.455
_cell_length_b 4.142
_cell_length_c 18.359
_cell_angle_alpha 90.00
_cell_angle_beta 90.00
_cell_angle_gamma 90.00
_symmetry_space_group_name_H-M 'P 1'
_symmetry_Int_Tables_number 1
loop_
_symmetry_equiv_pos_as_xyz
'x,y,z'
loop_
_atom_site_label
_atom_site_type_symbol
_atom_site_fract_x
_atom_site_fract_y
_atom_site_fract_z
In1 In 0.154 0.250 0.199
In2 In 0.654 0.250 0.301
In3 In 0.346 0.750 0.699
In4 In 0.846 0.750 0.801
Ni1 Ni 0.338 0.750 0.149
Ni2 Ni 0.838 0.750 0.351
Ni3 Ni 0.162 0.250 0.649
Ni4 Ni 0.662 0.250 0.851
Te1 Te 0.122 0.750 0.053
Te2 Te 0.488 0.250 0.090
Te3 Te 0.875 0.750 0.214
Te4 Te 0.375 0.750 0.286
Te5 Te 0.988 0.250 0.410
Te6 Te 0.622 0.750 0.447
Te7 Te 0.378 0.250 0.553
Te8 Te 0.012 0.750 0.590
Te9 Te 0.625 0.250 0.714
Te10 Te 0.125 0.250 0.786
Te11 Te 0.512 0.750 0.910
Te12 Te 0.878 0.250 0.947
Tm1 Tm 0.740 0.750 0.053
Tm2 Tm 0.240 0.750 0.447
Tm3 Tm 0.760 0.250 0.553
Tm4 Tm 0.260 0.250 0.947
```

Record 3
## CuSnMoPt (GGA-PBE)

Data for CuSnMoPt after structural relaxation.

Properties
Crystal system   cubic
SG   No. 216
E_tot   -5.98 eV/atom

CIF file:
```
data_CuSnMoPt
_cell_length_a 4.544
_cell_length_b 4.544
_cell_length_c 4.544
_cell_angle_alpha 60.00
_cell_angle_beta 60.00
_cell_angle_gamma 60.00
_symmetry_space_group_name_H-M 'P 1'
_symmetry_Int_Tables_number 1
loop_
_symmetry_equiv_pos_as_xyz
'x,y,z'
loop_
_atom_site_label
_atom_site_type_symbol
_atom_site_fract_x
_atom_site_fract_y
_atom_site_fract_z
Cu1 Cu 0.750 0.750 0.750
Mo1 Mo 0.500 0.500 0.500
Pt1 Pt 0.250 0.250 0.250
Sn1 Sn 0.000 0.000 0.000
```

Record 4
## CuAg4 (GGA-PBE)

Data for CuAg4 after structural relaxation.

Properties
Crystal system   orthorhombic
SG   No. 59
Formation energy   5 kJ/mol of atoms

CIF file:
```
data_CuAg4
_cell_length_a 2.913
_cell_length_b 4.026
_cell_length_c 14.401
_cell_angle_alpha 90.00
_cell_angle_beta 90.00
_cell_angle_gamma 90.00
_symmetry_space_group_name_H-M 'P 1'
_symmetry_Int_Tables_number 1
loop_
_symmetry_equiv_pos_as_xyz
'x,y,z'
loop_
_atom_site_label
_atom_site_type_symbol
_atom_site_fract_x
_atom_site_fract_y
_atom_site_fract_z
Ag1 Ag 0.500 0.000 0.135
Ag2 Ag 0.000 0.500 0.239
Ag3 Ag 0.500 0.000 0.344
Ag4 Ag 0.000 0.500 0.448
Ag5 Ag 0.500 0.000 0.552
Ag6 Ag 0.000 0.500 0.656
Ag7 Ag 0.500 0.000 0.761
Ag8 Ag 0.000 0.500 0.865
Cu1 Cu 0.000 0.500 0.045
Cu2 Cu 0.500 0.000 0.955
```

Record 5
## YLuTlCu (GGA-PBE)

Data for YLuTlCu after structural relaxation.

Properties
Crystal system   cubic
SG   No. 216
E_tot   -4.10 eV/atom

CIF file:
```
data_YLuTlCu
_cell_length_a 5.117
_cell_length_b 5.117
_cell_length_c 5.117
_cell_angle_alpha 60.00
_cell_angle_beta 60.00
_cell_angle_gamma 60.00
_symmetry_space_group_name_H-M 'P 1'
_symmetry_Int_Tables_number 1
loop_
_symmetry_equiv_pos_as_xyz
'x,y,z'
loop_
_atom_site_label
_atom_site_type_symbol
_atom_site_fract_x
_atom_site_fract_y
_atom_site_fract_z
Cu1 Cu 0.750 0.750 0.750
Lu1 Lu 0.500 0.500 0.500
Tl1 Tl 0.000 0.000 0.000
Y1 Y 0.250 0.250 0.250
```

Record 6
## Pm2SiIr2 (GGA-PBE)

Data for Pm2SiIr2 after structural relaxation.

Properties
Crystal system   monoclinic
SG   No. 15
E_tot   -7.39 eV/atom

CIF file:
```
data_Pm2SiIr2
_cell_length_a 5.688
_cell_length_b 5.688
_cell_length_c 7.663
_cell_angle_alpha 100.77
_cell_angle_beta 100.77
_cell_angle_gamma 60.08
_symmetry_space_group_name_H-M 'P 1'
_symmetry_Int_Tables_number 1
loop_
_symmetry_equiv_pos_as_xyz
'x,y,z'
loop_
_atom_site_label
_atom_site_type_symbol
_atom_site_fract_x
_atom_site_fract_y
_atom_site_fract_z
Ir1 Ir 0.262 0.995 0.005
Ir2 Ir 0.005 0.738 0.495
Ir3 Ir 0.995 0.262 0.505
Ir4 Ir 0.738 0.005 0.995
Pm1 Pm 0.784 0.516 0.149
Pm2 Pm 0.484 0.216 0.351
Pm3 Pm 0.516 0.784 0.649
Pm4 Pm 0.216 0.484 0.851
Si1 Si 0.108 0.892 0.250
Si2 Si 0.892 0.108 0.750
```